(1)
Na5B7C3 | GGA-PBE | relaxed

Geometry as CIF:
```
data_Na5B7C3
_chemical_formula_sum 'Na20 B28 C12'
_symmetry_space_group_name_H-M 'C m c m'
_symmetry_Int_Tables_number 63
_symmetry_space_group_name_Hall '-C 2c 2'
_cell_length_a 2.8441
_cell_length_b 25.6402
_cell_length_c 8.5362
_cell_angle_alpha 90.00
_cell_angle_beta 90.00
_cell_angle_gamma 90.00
loop_
_atom_site_label
_atom_site_fract_x
_atom_site_fract_y
_atom_site_fract_z
_atom_site_occupancy
Na1 0.0000 0.0000 0.0000 1
Na2 0.0000 0.1998 0.0016 1
Na3 0.0000 0.4005 0.0024 1
B1 0.0000 0.0614 0.7500 1
B2 0.0000 0.1266 0.2500 1
B3 0.0000 0.1311 0.7500 1
B4 0.0000 0.2643 0.7500 1
B5 0.0000 0.3298 0.2500 1
B6 0.0000 0.3337 0.7500 1
B7 0.0000 0.4668 0.7500 1
C1 0.0000 0.0642 0.2500 1
C2 0.0000 0.2668 0.2500 1
C3 0.0000 0.4693 0.2500 1
```

Results
ΔH_f (0 K)	0.1277	eV/atom
E above lowest polymorph	1.4	kJ per mole of atoms

(2)
Ac2MgMnS6 | GGA-PBE | relaxed

Geometry as CIF:
```
data_Ac2MgMnS6
_chemical_formula_sum 'Ac4 Mg2 Mn2 S12'
_symmetry_space_group_name_H-M 'P 1 21/c 1'
_symmetry_Int_Tables_number 14
_cell_length_a 6.5911
_cell_length_b 7.0669
_cell_length_c 11.5693
_cell_angle_alpha 90.00
_cell_angle_beta 124.46
_cell_angle_gamma 90.00
loop_
_symmetry_equiv_pos_as_xyz
'x,y,z'
'-x,-y,-z'
'-x,y+1/2,-z+1/2'
'x,-y+1/2,z+1/2'
loop_
_atom_site_label
_atom_site_fract_x
_atom_site_fract_y
_atom_site_fract_z
_atom_site_occupancy
Ac1 0.2235 0.0852 0.2497 1
Mg1 0.5000 0.0000 0.0000 1
Mn1 0.0000 0.0000 0.5000 1
S1 0.1409 0.2081 0.9580 1
S2 0.2548 0.6862 0.9589 1
S3 0.3217 0.0052 0.7397 1
```

Results
raw formation energy	-145.9	kJ per mole of atoms

(3)
Y4HgOs | GGA-PBE | relaxed

Geometry as CIF:
```
data_Y4HgOs
_chemical_formula_sum 'Y16 Hg4 Os4'
_symmetry_space_group_name_H-M 'F -4 3 m'
_symmetry_Int_Tables_number 216
_symmetry_space_group_name_Hall 'F -4 2 3'
_cell_length_a 8.4616
_cell_length_b 8.4616
_cell_length_c 8.4616
_cell_angle_alpha 90.00
_cell_angle_beta 90.00
_cell_angle_gamma 90.00
loop_
_atom_site_label
_atom_site_fract_x
_atom_site_fract_y
_atom_site_fract_z
_atom_site_occupancy
Y1 0.1234 0.1234 0.3766 1
Hg1 0.0000 0.0000 0.0000 1
Os1 0.2500 0.2500 0.7500 1
```

Results
ΔH_f (0 K)	0.7642	eV/atom
E above lowest polymorph	106.1	kJ per mole of atoms

(4)
Be3PPb | GGA-PBE | relaxed

Geometry as CIF:
```
data_Be3PPb
_chemical_formula_sum 'Be3 P1 Pb1'
_symmetry_space_group_name_H-M 'P m -3 m'
_symmetry_Int_Tables_number 221
_symmetry_space_group_name_Hall '-P 4 2 3'
_cell_length_a 4.6118
_cell_length_b 4.6118
_cell_length_c 4.6118
_cell_angle_alpha 90.00
_cell_angle_beta 90.00
_cell_angle_gamma 90.00
loop_
_atom_site_label
_atom_site_fract_x
_atom_site_fract_y
_atom_site_fract_z
_atom_site_occupancy
Be1 0.0000 0.0000 0.5000 1
P1 0.5000 0.5000 0.5000 1
Pb1 0.0000 0.0000 0.0000 1
```

Results
ΔH_f (0 K)	1.5070	eV/atom
E above lowest polymorph	85.6	kJ per mole of atoms

no.,ρ (Mg/m³)
1,2.4
2,5.4
3,8.2
4,4.5